The following is a PBE with a Hubbard U calculation of a geometry-optimized CrNiGeO4 structure, from Alexandria.

Cell lengths 6.0549, 6.0549, 6.0549 Å; angles 121.80, 121.62, 87.06 degrees
Last column: nearest neighbours and their distance in Å.
Positions (direct):
Cr: 0.0000 0.0000 0.0000  4 O 2.08
Cr: 0.5000 0.0000 0.5000  4 O 2.08
Ni: 0.5000 0.0000 0.0000  6 O 2.09-2.16
Ni: 0.5000 0.5000 0.5000  6 O 2.09-2.16
Ge: 0.1332 0.3832 0.7500  4 O 1.79-1.82
Ge: 0.8668 0.6168 0.2500  4 O 1.79-1.82
O: 0.2322 0.7330 0.4993  1 Ge 1.79
O: 0.2536 0.2519 0.4983  1 Ge 1.82
O: 0.2536 0.7552 0.0017  1 Ge 1.82
O: 0.2663 0.2670 0.9993  1 Ge 1.79
O: 0.7337 0.7330 0.0007  1 Ge 1.79
O: 0.7464 0.2448 0.9983  1 Ge 1.82
O: 0.7464 0.7481 0.5017  1 Ge 1.82
O: 0.7678 0.2670 0.5007  1 Ge 1.79

Computed properties:
The calculated volume comes out at 10.9 Å³ per atom. The total energy comes out at -6.42 eV/atom. The value obtained for the total magnetic moment is 0.8566 μB/atom. The value obtained for the density of states at the Fermi level is 0.021 states/eV/atom. The space group is Imma, No. 74.